# 1
A plane-wave DFT calculation with PBE was carried out for a geometry-optimized MgBSe2 structure.

* VASP energy: -3.203 eV per atom
* total moment: 0.00 μB/f.u.
* space-group type: Fm-3m, No. 225
* offset from the most stable computed form: 675 meV/atom

Cell lengths 4.6787, 4.6787, 4.6787 Å; angles 60.00, 60.00, 60.00 degrees
Last column: nearest neighbours and their distance in Å.
Fractional positions:
Mg: 0.0000 0.0000 0.0000  8 Se 2.87
B: 0.5000 0.5000 0.5000  8 Se 2.87
Se: 0.2500 0.2500 0.2500  4 Mg 2.87, 4 B 2.87
Se: 0.7500 0.7500 0.7500  4 Mg 2.87, 4 B 2.87

# 2
A plane-wave DFT calculation with PBE was carried out for a geometry-optimized MgBSe2 structure.

* VASP energy: -3.467 eV per atom
* total moment: 0.00 μB/f.u.
* space-group type: R-3m, No. 166
* offset from the most stable computed form: 412 meV/atom

Cell lengths 8.3608, 8.3608, 8.3608 Å; angles 22.67, 22.67, 22.67 degrees
Last column: nearest neighbours and their distance in Å.
Fractional positions:
Mg: 0.0000 0.0000 0.0000  2 Se 2.79
B: 0.5000 0.5000 0.5000  6 Se 2.29
Se: 0.1140 0.1140 0.1140  3 B 2.29
Se: 0.8860 0.8860 0.8860  3 B 2.29

# 3
A plane-wave DFT calculation with PBE was carried out for a geometry-optimized MgBSe2 structure.

* VASP energy: -3.879 eV per atom
* total moment: 0.00 μB/f.u.
* space-group type: R-3m, No. 166
* offset from the most stable computed form: 0 meV/atom

Cell lengths 6.9625, 6.9625, 6.9625 Å; angles 34.50, 34.50, 34.50 degrees
Last column: nearest neighbours and their distance in Å.
Fractional positions:
Mg: 0.0000 0.0000 0.0000  6 Se 2.77
B: 0.5000 0.5000 0.5000  2 Se 1.85
Se: 0.4055 0.4055 0.4055  1 B 1.85
Se: 0.5945 0.5945 0.5945  1 B 1.85

# 4
A plane-wave DFT calculation with PBE was carried out for a geometry-optimized MgBSe2 structure.

* VASP energy: -3.865 eV per atom
* total moment: 0.00 μB/f.u.
* space-group type: I-42d, No. 122
* offset from the most stable computed form: 13 meV/atom

Cell lengths 6.8338, 6.8338, 6.8338 Å; angles 131.99, 131.99, 70.24 degrees
Last column: nearest neighbours and their distance in Å.
Fractional positions:
Mg: 0.0000 0.0000 0.0000  4 Se 2.63
Mg: 0.7500 0.2500 0.5000  4 Se 2.63
B: 0.2500 0.7500 0.5000  4 Se 2.23
B: 0.5000 0.5000 0.0000  4 Se 2.23
Se: 0.1890 0.6250 0.0640  2 B 2.23
Se: 0.3750 0.4390 0.5640  2 B 2.23
Se: 0.5610 0.1250 0.9360  2 B 2.23
Se: 0.8750 0.8110 0.4360  2 B 2.23

# 5
A plane-wave DFT calculation with PBE was carried out for a geometry-optimized MgB2WSe structure.

* VASP energy: -5.473 eV per atom
* total moment: 0.00 μB/f.u.
* space-group type: P4/mmm, No. 123
* offset from the most stable computed form: 0 meV/atom

Cell lengths 4.1370, 4.1370, 5.2338 Å; angles 90.00, 90.00, 90.00 degrees
Last column: nearest neighbours and their distance in Å.
Fractional positions:
Mg: 0.0000 0.0000 0.0000  4 Se 2.93
B: 0.0000 0.5000 0.5000  2 W 2.07
B: 0.5000 0.0000 0.5000  2 W 2.07
W: 0.5000 0.5000 0.5000  4 B 2.07
Se: 0.5000 0.5000 0.0000  2 W 2.62, 4 Mg 2.93

# 6
A plane-wave DFT calculation with PBE was carried out for a geometry-optimized MgB2WSe structure.

* VASP energy: -4.324 eV per atom
* total moment: 0.00 μB/f.u.
* space-group type: P4/mmm, No. 123
* offset from the most stable computed form: 1149 meV/atom

Cell lengths 4.1999, 4.1999, 4.7781 Å; angles 90.00, 90.00, 90.00 degrees
Last column: nearest neighbours and their distance in Å.
Fractional positions:
Mg: 0.0000 0.0000 0.0000  4 W 2.97, 8 B 3.18
B: 0.0000 0.5000 0.5000  2 Se 2.10
B: 0.5000 0.0000 0.5000  2 Se 2.10
W: 0.5000 0.5000 0.0000  2 Se 2.39
Se: 0.5000 0.5000 0.5000  4 B 2.10

# 7
A plane-wave DFT calculation with PBE was carried out for a geometry-optimized Mg2SiB2 structure.

* VASP energy: -4.203 eV per atom
* total moment: 0.00 μB/f.u.
* space-group type: P4/mbm, No. 127
* offset from the most stable computed form: 0 meV/atom

Cell lengths 5.6697, 5.6697, 3.7274 Å; angles 90.00, 90.00, 90.00 degrees
Last column: nearest neighbours and their distance in Å.
Fractional positions:
Mg: 0.1807 0.3193 0.0000  6 B 2.51-2.53, 4 Si 2.79
Mg: 0.3193 0.8193 0.0000  6 B 2.51-2.53, 4 Si 2.79
Mg: 0.6807 0.1807 0.0000  6 B 2.51-2.53, 4 Si 2.79
Mg: 0.8193 0.6807 0.0000  6 B 2.51-2.53, 4 Si 2.79
Si: 0.0000 0.0000 0.5000  4 B 2.32
Si: 0.5000 0.5000 0.5000  4 B 2.32
B: 0.1050 0.6050 0.5000  1 B 1.68
B: 0.3950 0.1050 0.5000  1 B 1.68
B: 0.6050 0.8950 0.5000  1 B 1.68
B: 0.8950 0.3950 0.5000  1 B 1.68

# 8
A plane-wave DFT calculation with PBE was carried out for a geometry-optimized Mg6SiB structure.

* VASP energy: -2.465 eV per atom
* total moment: 0.00 μB/f.u.
* space-group type: Amm2, No. 38
* offset from the most stable computed form: 55 meV/atom

Cell lengths 4.1329, 6.0282, 6.0282 Å; angles 86.60, 90.00, 90.00 degrees
Last column: nearest neighbours and their distance in Å.
Fractional positions:
Mg: 0.0000 0.0000 0.0000  2 Si 2.67, 4 Mg 2.97
Mg: 0.0000 0.3972 0.3972  2 B 2.72, 2 Si 2.74, 6 Mg 2.94-2.95
Mg: 0.0000 0.5108 0.8643  2 B 2.65, 2 Mg 2.92-2.94
Mg: 0.0000 0.8643 0.5108  2 B 2.65, 2 Mg 2.92-2.94
Mg: 0.5000 0.1927 0.6914  1 B 2.48
Mg: 0.5000 0.6914 0.1927  1 B 2.48
Si: 0.5000 0.1922 0.1922  4 Mg 2.67-2.74
B: 0.5000 0.5994 0.5994  8 Mg 2.48-2.72

# 9
A plane-wave DFT calculation with PBE was carried out for a geometry-optimized MgSiB structure.

* VASP energy: -4.526 eV per atom
* total moment: 0.00 μB/f.u.
* space-group type: Pm, No. 6
* offset from the most stable computed form: 61 meV/atom

Cell lengths 3.4524, 5.9637, 4.5727 Å; angles 90.00, 111.85, 90.00 degrees
Last column: nearest neighbours and their distance in Å.
Fractional positions:
Mg: 0.0000 0.0000 0.0000  2 B 2.51, 6 Si 2.72-2.78
Mg: 0.4364 0.5000 0.8745  6 B 2.53-2.68
Si: 0.7104 0.2026 0.4265  2 B 2.02
Si: 0.7104 0.7974 0.4265  2 B 2.02
B: 0.1539 0.3582 0.3120  1 B 1.69
B: 0.1539 0.6418 0.3120  1 B 1.69

# 10
A plane-wave DFT calculation with PBE was carried out for a geometry-optimized Mg6SiB structure.

* VASP energy: -2.519 eV per atom
* total moment: 0.00 μB/f.u.
* space-group type: Amm2, No. 38
* offset from the most stable computed form: 0 meV/atom

Cell lengths 4.0290, 6.2038, 6.2038 Å; angles 77.30, 90.00, 90.00 degrees
Last column: nearest neighbours and their distance in Å.
Fractional positions:
Mg: 0.0000 0.0000 0.0000  2 B 2.47
Mg: 0.0000 0.5544 0.9271  2 B 2.71, 2 Mg 2.89-2.90, 1 Si 2.98
Mg: 0.0000 0.9271 0.5544  2 B 2.71, 2 Mg 2.89-2.90, 1 Si 2.98
Mg: 0.5000 0.2251 0.2251  2 Si 2.75, 4 Mg 2.97-3.05
Mg: 0.5000 0.2694 0.7052  1 B 2.55, 2 Si 2.71
Mg: 0.5000 0.7052 0.2694  1 B 2.55, 2 Si 2.71
Si: 0.0000 0.4183 0.4183  8 Mg 2.71-2.98
B: 0.5000 0.8526 0.8526  8 Mg 2.47-2.71

# 11
A plane-wave DFT calculation with PBE was carried out for a geometry-optimized MgSi4B2 structure.

* VASP energy: -4.127 eV per atom
* total moment: 0.00 μB/f.u.
* space-group type: I4/mmm, No. 139

Cell lengths 6.4207, 6.4207, 6.4207 Å; angles 134.80, 134.80, 65.84 degrees
Last column: nearest neighbours and their distance in Å.
Fractional positions:
Mg: 0.0000 0.0000 0.0000  6 Si 2.47-2.70
Si: 0.0000 0.5000 0.5000  2 Mg 2.47, 4 B 2.59
Si: 0.2503 0.2503 0.0000  1 B 1.91
Si: 0.5000 0.0000 0.5000  2 Mg 2.47, 4 B 2.59
Si: 0.7497 0.7497 0.0000  1 B 1.91
B: 0.4271 0.4271 0.0000  1 B 1.57
B: 0.5729 0.5729 0.0000  1 B 1.57

# 12
A plane-wave DFT calculation with PBE was carried out for a geometry-optimized MgSi2B structure.

* VASP energy: -3.786 eV per atom
* total moment: 0.00 μB/f.u.
* space-group type: Fm-3m, No. 225
* offset from the most stable computed form: 811 meV/atom

Cell lengths 4.3333, 4.3333, 4.3333 Å; angles 60.00, 60.00, 60.00 degrees
Last column: nearest neighbours and their distance in Å.
Fractional positions:
Mg: 0.0000 0.0000 0.0000  8 Si 2.65
Si: 0.2500 0.2500 0.2500  4 Mg 2.65, 4 B 2.65
Si: 0.7500 0.7500 0.7500  4 Mg 2.65, 4 B 2.65
B: 0.5000 0.5000 0.5000  8 Si 2.65

> What is the VASP energy in the eighth record?

-2.465 eV per atom